1.
Entry from Alexandria via LeMat-Bulk: a relaxed KCuI3 crystal (PBE).

Values from the calculation:
**ΔE_f (raw)**: -0.604 eV per atom

Cell and atoms, written as CIF:
```
data_KCuI3
_cell_length_a 13.764
_cell_length_b 14.130
_cell_length_c 9.216
_cell_angle_alpha 90.00
_cell_angle_beta 115.44
_cell_angle_gamma 90.00
_space_group_name_H-M_alt 'C 1 2/c 1'
_space_group_IT_number 15
loop_
_space_group_symop_operation_xyz
'x,y,z'
'-x,-y,-z'
'-x,y,-z+1/2'
'x,-y,z+1/2'
'x+1/2,y+1/2,z'
'-x+1/2,-y+1/2,-z'
'-x+1/2,y+1/2,-z+1/2'
'x+1/2,-y+1/2,z+1/2'
loop_
_atom_site_label
_atom_site_fract_x
_atom_site_fract_y
_atom_site_fract_z
K1 0.000 0.019 0.250
K2 0.000 0.403 0.750
Cu1 0.189 0.299 0.277
I1 0.112 0.178 0.028
I2 0.126 0.236 0.486
I3 0.187 0.462 0.156
```

***

2.
Entry from Alexandria via LeMat-Bulk: a relaxed Ac2Ho3Pt2 crystal (PBE).

Values from the calculation:
**DOS(E_F)**: 16.66 states/eV/cell
**E_form**: -0.7607 eV per atom

Cell and atoms, written as CIF:
```
data_Ac2Ho3Pt2
_cell_length_a 12.813
_cell_length_b 3.902
_cell_length_c 9.337
_cell_angle_alpha 90.00
_cell_angle_beta 117.85
_cell_angle_gamma 90.00
_space_group_name_H-M_alt 'C 1 2/m 1'
_space_group_IT_number 12
loop_
_space_group_symop_operation_xyz
'x,y,z'
'-x,-y,-z'
'-x,y,-z'
'x,-y,z'
'x+1/2,y+1/2,z'
'-x+1/2,-y+1/2,-z'
'-x+1/2,y+1/2,-z'
'x+1/2,-y+1/2,z'
loop_
_atom_site_label
_atom_site_fract_x
_atom_site_fract_y
_atom_site_fract_z
Ac1 0.158 0.000 0.304
Ho1 0.000 0.500 0.500
Ho2 0.121 0.500 0.933
Pt1 0.162 0.000 0.744
```